Entry 1:
Density functional theory data (GGA-PBE) for In6Sn4Hg after structural relaxation.

```
In6Sn4Hg
1.0
-5.466 -5.490 0.187
4.614 -4.687 -2.714
2.176 3.538 6.916
In Sn Hg
6 4 1
Cartesian
3.540 -0.830 3.316
-1.086 -1.343 4.608
-2.733 -2.745 0.094
-0.169 -7.886 -0.131
0.365 -3.217 0.984
2.307 -2.343 -1.357
3.535 -5.184 -1.004
1.626 2.399 5.262
1.075 -4.791 3.461
-3.587 -5.700 1.060
-0.426 -5.088 -1.264
```

Values from the calculation:
Symmetry: I222
Uncorrected energy in eV for the cell shown: -31.555
Crystal system: orthorhombic



Entry 2:
Density functional theory data (GGA-PBE) for Cs2KSnBr5 after structural relaxation.

```
Cs2KSnBr5
1.0
5.182 0.000 0.000
-2.591 10.081 0.000
0.000 0.000 14.762
Br K Cs Sn
10 2 4 2
Cartesian
2.591 0.217 4.017
2.591 4.354 2.371
0.000 7.673 14.729
0.000 9.863 11.398
0.000 6.717 5.600
0.000 0.993 0.707
0.000 5.727 9.752
2.591 3.364 12.981
2.591 2.407 7.348
2.591 9.088 8.088
0.000 4.316 0.282
2.591 5.764 7.663
0.000 2.221 10.152
0.000 2.935 4.505
2.591 7.860 2.771
2.591 7.146 11.886
2.591 0.604 14.087
0.000 9.476 6.706
```

Values from the calculation:
Energy relative to the elements, uncorrected in kcal/mol of atoms: -33.16
Symmetry: Cmc2_1
Crystal system: orthorhombic



Entry 3:
Density functional theory data (GGA-PBE) for VAgS4 after structural relaxation.

```
VAgS4
1.0
-5.798 1.948 -0.095
-1.363 -5.925 3.486
6.960 3.532 3.985
Ag V S
2 2 8
Cartesian
3.123 0.133 4.325
-3.324 -0.578 3.050
-1.592 0.531 -0.021
1.391 -0.976 7.397
2.476 -2.182 5.622
-0.339 -0.977 1.500
3.468 2.743 4.543
0.595 3.793 3.521
-2.678 1.737 1.754
-3.670 -3.188 2.832
-0.797 -4.238 3.855
0.137 0.532 5.876
```

Values from the calculation:
Energy relative to the elements, uncorrected in kcal/mol of atoms: -8.36
Symmetry: P-1
Crystal system: triclinic
Relative energy among the computed polymorphs in meV/atom: 0



Entry 4:
Density functional theory data (GGA-PBE) for Zn5CuAu2 after structural relaxation.

```
Zn5CuAu2
1.0
-1.589 3.793 0.565
-3.822 -1.617 0.106
3.244 -1.903 6.654
Zn Au Cu
5 2 1
Cartesian
-0.382 1.272 5.637
-1.498 -1.433 5.408
-1.785 -0.999 1.687
-2.706 1.088 0.335
-0.669 1.706 1.917
0.264 -0.400 3.429
-2.431 0.673 3.896
0.000 0.000 0.000
```

Values from the calculation:
Symmetry: I4/mmm
Uncorrected energy in eV for the cell shown: -17.812
Crystal system: tetragonal



Entry 5:
Density functional theory data (GGA-PBE) for BaSnO3 after structural relaxation.

```
BaSnO3
1.0
4.228 0.000 3.834
-2.114 3.662 3.834
-2.114 -3.662 3.834
O Sn Ba
3 1 1
Cartesian
-2.363 0.000 5.586
1.182 2.047 5.586
1.182 -2.047 5.586
0.000 0.000 9.875
0.000 0.000 6.433
```

Values from the calculation:
Energy relative to the elements, uncorrected in kcal/mol of atoms: -34.78
Symmetry: R3m
Crystal system: trigonal



Entry 6:
Density functional theory data (GGA-PBE) for AcPmCuIr after structural relaxation.

```
AcPmCuIr
1.0
-3.787 0.354 3.480
-1.041 -3.992 3.092
1.131 0.266 5.023
Pm Cu Ac Ir
1 1 1 1
Cartesian
0.000 0.000 0.000
-0.924 -0.843 2.899
-1.848 -1.686 5.797
-2.773 -2.529 8.696
```

Values from the calculation:
Symmetry: F-43m
Crystal system: cubic
Relative energy among the computed polymorphs in meV/atom: 78



Entry 7:
Density functional theory data (GGA-PBE) for V6Ga2W after structural relaxation.

```
V6Ga2W
1.0
2.434 0.178 0.932
0.793 6.805 4.025
-0.248 0.483 7.922
Ga V W
2 6 1
Cartesian
2.479 6.222 10.727
0.499 1.243 2.151
1.555 3.573 3.812
0.427 1.422 4.803
0.321 1.584 7.417
2.551 6.042 8.076
2.657 5.881 5.462
1.423 3.892 9.067
1.489 3.732 6.439
```

Values from the calculation:
Symmetry: C2/m
Crystal system: monoclinic
Relative energy among the computed polymorphs in meV/atom: 0



Entry 8:
Density functional theory data (GGA-PBE) for NpAlCd2Au4 after structural relaxation.

```
NpAlCd2Au4
1.0
4.679 0.000 0.000
2.340 4.052 0.000
2.340 1.351 8.603
Au Cd Al Np
4 2 1 1
Cartesian
7.019 4.052 3.461
4.679 2.702 1.487
2.340 1.351 5.142
4.679 2.702 7.117
2.340 1.351 2.195
7.019 4.052 6.408
4.679 2.702 4.302
0.000 0.000 0.000
```

Values from the calculation:
Symmetry: R-3m
Uncorrected energy in eV for the cell shown: -32.875
Crystal system: trigonal



Entry 9:
Density functional theory data (GGA-PBE) for AlSeN2O after structural relaxation.

```
AlSeN2O
1.0
3.825 0.000 0.000
0.000 3.825 0.000
0.000 0.000 3.716
Se N O Al
1 2 1 1
Cartesian
0.000 0.000 0.000
0.000 1.912 0.000
1.912 0.000 0.000
0.000 0.000 1.858
1.912 1.912 1.858
```

Values from the calculation:
Energy relative to the elements, uncorrected in kcal/mol of atoms: 22.07
Symmetry: P4/mmm
Crystal system: tetragonal



Entry 10:
Density functional theory data (GGA-PBE) for CuHAu3 after structural relaxation.

```
CuHAu3
1.0
-3.501 3.034 1.421
-2.276 -0.645 -4.229
-2.458 -3.723 1.892
Au Cu H
3 1 1
Cartesian
-1.138 -0.323 -2.114
-1.229 -1.861 0.946
-1.750 1.517 0.711
0.000 0.000 0.000
-4.118 -0.667 -0.458
```

Values from the calculation:
Symmetry: Pm-3m
Crystal system: cubic
Relative energy among the computed polymorphs in meV/atom: 833



Entry 11:
Density functional theory data (GGA-PBE) for BeSnHI2 after structural relaxation.

```
BeSnHI2
1.0
6.110 0.000 0.000
0.000 4.030 0.000
0.000 0.000 6.110
I H Be Sn
2 1 1 1
Cartesian
0.000 0.000 3.055
3.055 0.000 0.000
0.000 2.015 0.000
3.055 2.015 3.055
0.000 0.000 0.000
```

Values from the calculation:
Symmetry: P4/mmm
Uncorrected energy in eV for the cell shown: -11.472
Crystal system: tetragonal



Entry 12:
Density functional theory data (GGA-PBE) for Pr2GaSi3Ni4 after structural relaxation.

```
Pr2GaSi3Ni4
1.0
4.098 0.000 0.000
0.000 4.098 0.000
0.000 0.000 9.665
Ni Pr Si Ga
4 2 3 1
Cartesian
0.000 0.000 0.000
2.049 2.049 0.000
0.000 2.049 3.548
2.049 0.000 6.117
0.000 2.049 7.270
2.049 0.000 2.395
0.000 2.049 1.182
2.049 0.000 8.483
0.000 0.000 4.833
2.049 2.049 4.833
```

Values from the calculation:
Energy relative to the elements, uncorrected in kcal/mol of atoms: -17.03
Symmetry: P-4m2
Crystal system: tetragonal



Entry 13:
Density functional theory data (GGA-PBE) for Tb5Zn2Ru2 after structural relaxation.

```
Tb5Zn2Ru2
1.0
7.553 0.000 0.000
0.000 7.321 0.000
0.000 -3.660 7.827
Tb Ru Zn
10 4 4
Cartesian
2.422 2.349 5.816
5.131 1.312 2.011
6.198 1.312 5.816
6.198 4.972 2.011
0.000 0.000 0.000
1.355 -1.312 5.816
2.422 6.009 2.011
5.131 -2.349 5.816
1.355 2.349 2.011
3.776 3.660 0.000
0.959 4.530 0.000
6.594 2.791 0.000
4.735 6.452 0.000
2.817 0.869 0.000
3.776 0.000 4.424
3.776 3.660 3.403
0.000 0.000 3.403
0.000 3.660 4.424
```

Values from the calculation:
Symmetry: Cmce
Uncorrected energy in eV for the cell shown: -93.887
Crystal system: orthorhombic



Entry 14:
Density functional theory data (GGA-PBE) for SrCd2As after structural relaxation.

```
SrCd2As
1.0
-2.675 -0.745 -8.297
-2.739 -8.152 1.615
-5.414 -3.385 -2.564
Cd Sr As
4 2 2
Cartesian
-8.623 -9.804 -7.873
-6.265 -6.394 -4.326
-3.197 -2.283 -5.097
-3.570 -6.081 -1.197
-5.398 -4.289 -7.101
0.000 0.000 0.000
-2.707 -4.448 -3.341
-5.430 -7.992 -2.145
```

Values from the calculation:
Symmetry: I-42d
Uncorrected energy in eV for the cell shown: -18.832
Crystal system: tetragonal



Entry 15:
Density functional theory data (GGA-PBE) for LiCeHo2S4 after structural relaxation.

```
LiCeHo2S4
1.0
-3.571 -0.977 -1.238
2.674 -2.632 -5.635
-0.343 -4.828 4.797
S Ce Li Ho
4 1 1 2
Cartesian
-0.023 -6.081 -1.291
1.946 -3.240 -3.055
0.385 -4.220 2.218
-1.217 -2.356 -0.785
-0.448 -1.805 -3.436
0.000 0.000 0.000
-1.957 -2.902 1.779
1.166 -3.730 -0.419
```

Values from the calculation:
Energy relative to the elements, uncorrected in kcal/mol of atoms: -44.22
Symmetry: P2/m
Crystal system: monoclinic



Entry 16:
Density functional theory data (GGA-PBE) for La2O3 after structural relaxation.

```
La2O3
1.0
3.939 0.000 0.000
-1.969 3.411 0.000
0.000 0.000 6.175
O La
3 2
Cartesian
0.000 0.000 0.000
1.969 1.137 2.190
0.000 2.274 3.985
0.000 2.274 1.528
1.969 1.137 4.647
```

Values from the calculation:
Energy relative to the elements, uncorrected in kcal/mol of atoms: -79.20
Symmetry: P-3m1
Crystal system: trigonal



Entry 17:
Density functional theory data (GGA-PBE) for Th5GeAs4 after structural relaxation.

```
Th5GeAs4
1.0
5.431 0.000 2.620
2.716 6.745 1.310
-0.215 0.000 7.385
As Th Ge
4 5 1
Cartesian
6.395 5.391 7.576
1.548 1.354 3.744
3.095 2.700 7.478
4.848 4.046 3.842
2.722 0.000 1.313
2.138 4.055 2.522
4.268 1.343 5.045
3.675 5.403 6.275
5.805 2.690 8.798
0.006 0.000 0.003
```

Values from the calculation:
Symmetry: I4/m
Uncorrected energy in eV for the cell shown: -73.114
Crystal system: tetragonal



Entry 18:
Density functional theory data (GGA-PBE) for LaTe2P after structural relaxation.

```
LaTe2P
1.0
-1.984 2.035 8.273
1.984 -2.035 8.273
1.984 2.035 -8.273
Te P La
2 1 1
Cartesian
0.000 2.035 4.318
0.000 0.000 0.291
1.984 0.000 4.802
0.000 0.000 7.134
```

Values from the calculation:
Energy relative to the elements, uncorrected in kcal/mol of atoms: -17.49
Symmetry: Imm2
Crystal system: orthorhombic



Entry 19:
Density functional theory data (GGA-PBE) for SrCa2LaSe4 after structural relaxation.

```
SrCa2LaSe4
1.0
-2.894 1.457 -2.802
4.654 -1.513 -5.593
-1.186 -6.961 -2.393
Ca Se Sr La
2 4 1 1
Cartesian
-1.186 -6.961 -2.393
-2.040 -2.752 -2.597
2.660 -6.320 -6.032
-2.087 -0.698 -4.756
-1.219 -4.861 -4.542
1.792 -2.156 -6.246
0.880 -0.028 -4.198
1.734 -4.237 -3.993
```

Values from the calculation:
Energy relative to the elements, uncorrected in kcal/mol of atoms: -45.91
Symmetry: P2/m
Crystal system: monoclinic



Entry 20:
Density functional theory data (GGA-PBE) for Dy12Ho7Pb after structural relaxation.

```
Dy12Ho7Pb
1.0
8.358 1.140 1.711
-1.229 8.345 1.711
-1.229 -1.635 8.361
Dy Ho Pb
12 7 1
Cartesian
1.093 0.193 6.845
6.080 4.522 5.529
-0.118 5.892 3.654
6.019 1.959 8.129
3.247 5.481 3.104
4.362 1.076 5.481
-0.179 3.329 6.254
0.208 5.065 8.969
5.692 2.785 2.815
4.808 7.657 4.939
2.653 2.369 8.679
1.538 6.774 6.303
2.931 7.122 9.784
2.950 3.925 5.892
0.677 3.288 1.442
6.026 7.182 8.194
2.970 0.728 1.999
-0.126 0.668 3.589
5.223 4.563 10.341
0.000 0.000 0.000
```

Values from the calculation:
Symmetry: R-3
Uncorrected energy in eV for the cell shown: -87.852
Crystal system: trigonal



Entry 21:
Density functional theory data (GGA-PBE) for K3RbAu after structural relaxation.

```
K3RbAu
1.0
-10.184 -1.898 8.959
3.154 -0.090 3.565
-0.388 8.780 0.566
Rb K Au
2 6 2
Cartesian
-6.481 0.338 11.194
-0.982 3.916 3.240
0.487 8.038 5.225
-8.374 5.042 9.811
-5.782 3.168 7.470
-5.332 -1.195 6.961
-2.148 5.537 7.494
-1.717 1.184 7.001
-4.902 5.360 9.926
-2.987 7.783 5.114
```

Values from the calculation:
Symmetry: Pm
Crystal system: monoclinic
Relative energy among the computed polymorphs in meV/atom: 7



Entry 22:
Density functional theory data (GGA-PBE) for Hf2CrCuN after structural relaxation.

```
Hf2CrCuN
1.0
-1.250 4.075 -1.946
-1.792 -2.077 -3.199
-4.053 -0.121 2.349
N Hf Cr Cu
1 2 1 1
Cartesian
-3.547 0.939 -1.398
-0.625 2.038 -0.973
-2.026 -0.061 1.174
0.000 0.000 0.000
-0.896 -1.038 -1.599
```

Values from the calculation:
Energy relative to the elements, uncorrected in kcal/mol of atoms: 35.85
Symmetry: P4/mmm
Crystal system: tetragonal



Entry 23:
Density functional theory data (GGA-PBE) for RbCu2Ge2 after structural relaxation.

```
RbCu2Ge2
1.0
-0.256 2.095 -3.768
0.644 -3.714 -2.109
-6.043 -1.814 -3.074
Ge Rb Cu
2 1 2
Cartesian
-3.827 -2.298 -5.968
-1.827 -1.135 -2.982
0.000 0.000 0.000
-2.602 -3.169 -4.060
-3.052 -0.264 -4.890
```

Values from the calculation:
Symmetry: I4/mmm
Crystal system: tetragonal
Relative energy among the computed polymorphs in meV/atom: 0



Entry 24:
Density functional theory data (GGA-PBE) for LaTmZnOs after structural relaxation.

```
LaTmZnOs
1.0
-1.032 -4.298 -2.348
0.935 -4.370 2.253
-3.789 -2.865 1.575
Tm Zn Os La
1 1 1 1
Cartesian
-2.915 -8.649 1.110
-1.943 -5.766 0.740
0.000 0.000 0.000
-0.972 -2.883 0.370
```

Values from the calculation:
Symmetry: F-43m
Uncorrected energy in eV for the cell shown: -22.650
Crystal system: cubic